No. 1
# SrYNi | the Alexandria database | PBE | optimized geometry
data_SrYNi
_space_group_name_H-M_alt 'P 3 m 1'
_space_group_IT_number 156
_cell_length_a 4.0496
_cell_length_b 4.0496
_cell_length_c 6.7856
_cell_angle_alpha 90.00
_cell_angle_beta 90.00
_cell_angle_gamma 120.00
loop_
_space_group_symop_operation_xyz
'x,y,z'
'-y,x-y,z'
'-x+y,-x,z'
'-y,-x,z'
'-x+y,y,z'
'x,x-y,z'
loop_
_atom_site_label
_atom_site_type_symbol
_atom_site_fract_x
_atom_site_fract_y
_atom_site_fract_z
Sr1 Sr 0.0000 0.0000 0.0000
Y1 Y 0.6667 0.3333 0.5296
Ni1 Ni 0.3333 0.6667 0.7253
# - V (Å³/atom) = 32.12
# - formation enthalpy at 0 K (eV per atom) = -0.0196
# - DFT total energy (eV/cell) = -14.0
# - crystal system = trigonal


No. 2
# SrY2Ni | the Alexandria database | PBE | optimized geometry
data_SrY2Ni
_space_group_name_H-M_alt 'I -4 2 d'
_space_group_IT_number 122
_space_group_name_Hall 'I -4 2bw'
_cell_length_a 8.6435
_cell_length_b 8.6435
_cell_length_c 6.6577
_cell_angle_alpha 90.00
_cell_angle_beta 90.00
_cell_angle_gamma 90.00
loop_
_atom_site_label
_atom_site_type_symbol
_atom_site_fract_x
_atom_site_fract_y
_atom_site_fract_z
Sr1 Sr 0.0000 0.0000 0.0000
Y1 Y 0.1577 0.2500 0.6250
Ni1 Ni 0.0000 0.0000 0.5000
# - V (Å³/atom) = 31.09
# - formation enthalpy at 0 K (eV per atom) = 0.1123
# - DFT total energy (eV/cell) = -79.8
# - crystal system = tetragonal


No. 3
# SrY2Ni | the Alexandria database | PBE | optimized geometry
data_SrY2Ni
_space_group_name_H-M_alt 'C 1 2/m 1'
_space_group_IT_number 12
_cell_length_a 6.4593
_cell_length_b 11.3295
_cell_length_c 3.5477
_cell_angle_alpha 90.00
_cell_angle_beta 118.14
_cell_angle_gamma 90.00
loop_
_space_group_symop_operation_xyz
'x,y,z'
'-x,-y,-z'
'-x,y,-z'
'x,-y,z'
'x+1/2,y+1/2,z'
'-x+1/2,-y+1/2,-z'
'-x+1/2,y+1/2,-z'
'x+1/2,-y+1/2,z'
loop_
_atom_site_label
_atom_site_type_symbol
_atom_site_fract_x
_atom_site_fract_y
_atom_site_fract_z
Sr1 Sr 0.0000 0.0000 0.0000
Y1 Y 0.2500 0.2500 0.5000
Ni1 Ni 0.0000 0.5000 0.0000
# - V (Å³/atom) = 28.62
# - formation enthalpy at 0 K (eV per atom) = 0.4327
# - DFT total energy (eV/cell) = -37.3
# - crystal system = monoclinic